Entry from Alexandria: a geometry-optimized MgReAs2 structure (PBE).

Values from the calculation:
As for the magnetization: 0.000 μB per atom. Its space group is R-3m, No. 166. The value obtained for the formation energy is 0.015 eV/atom. The total energy comes out at -0.2139 hartree per atom. The value obtained for the density of states at the Fermi level is 2.1 states/eV per cell. Its density is 8.3 g/cm³.

Cell: 7.8200 7.8200 7.8200 Å, 24.52 24.52 24.52°
Last column: nearest neighbours and their distance in Å.
Positions (direct):
Re 0.7500 0.7500 0.7500  6 As 2.56
As 0.4911 0.4911 0.4911  3 Re 2.56, 3 Mg 2.84
Mg 0.2500 0.2500 0.2500  6 As 2.84
As 0.0089 0.0089 0.0089  3 Re 2.56, 3 Mg 2.84

***

Entry from Alexandria: a geometry-optimized MgRe3As structure (PBE).

Values from the calculation:
As for the magnetization: 0.428 μB per atom. Its space group is Pm-3m, No. 221. The value obtained for the formation energy is 2.634 eV/atom. The total energy comes out at -0.2236 hartree per atom. The value obtained for the density of states at the Fermi level is 6.2 states/eV per cell. Its density is 11.7 g/cm³.

Cell: 4.5418 4.5418 4.5418 Å, 90.00 90.00 90.00°
Last column: nearest neighbours and their distance in Å.
Positions (direct):
As 0.5000 0.5000 0.5000  12 Re 3.21
Re 0.5000 0.0000 0.0000  2 Mg 2.27
Re 0.0000 0.0000 0.5000  2 Mg 2.27
Mg 0.0000 0.0000 0.0000  6 Re 2.27
Re 0.0000 0.5000 0.0000  2 Mg 2.27

***

Entry from Alexandria: a geometry-optimized MgRe2As structure (PBE).

Values from the calculation:
As for the magnetization: 0.000 μB per atom. Its space group is C2/m, No. 12. The value obtained for the formation energy is 0.359 eV/atom. The total energy comes out at -0.2729 hartree per atom. The value obtained for the density of states at the Fermi level is 3.2 states/eV per cell. Its density is 12.5 g/cm³.

Cell: 4.8466 4.8466 4.6735 Å, 82.08 82.08 35.28°
Last column: nearest neighbours and their distance in Å.
Positions (direct):
Re 0.4962 0.4962 0.5036  3 Mg 2.71-2.87, 6 Re 2.74-2.94, 3 As 2.76-2.81
Re 0.0038 0.0038 0.9964  3 Mg 2.71-2.87, 6 Re 2.74-2.94, 3 As 2.76-2.81
Mg 0.2500 0.2500 0.2500  6 Re 2.71-2.87, 4 As 2.76, 2 Mg 2.94
As 0.7500 0.7500 0.7500  6 Re 2.76-2.81, 4 Mg 2.76, 2 As 2.94

***

Entry from Alexandria: a geometry-optimized MgRe2As structure (PBE).

Values from the calculation:
As for the magnetization: 0.000 μB per atom. Its space group is Cm, No. 8. The value obtained for the formation energy is 0.355 eV/atom. The total energy comes out at -0.2730 hartree per atom. The value obtained for the density of states at the Fermi level is 3.2 states/eV per cell. Its density is 12.7 g/cm³.

Cell: 4.8223 4.8223 4.6373 Å, 73.08 73.08 36.94°
Last column: nearest neighbours and their distance in Å.
Positions (direct):
Re 0.0087 0.0087 0.0339  4 As 2.64-2.93, 3 Mg 2.66-2.71, 2 Re 2.69
Re 0.7473 0.7473 0.7281  3 As 2.64-2.83, 2 Re 2.69, 4 Mg 2.75-2.80
As 0.4918 0.4918 0.5068  7 Re 2.64-2.93, 3 Mg 2.79-2.86
Mg 0.2522 0.2522 0.2311  7 Re 2.66-2.80, 3 As 2.79-2.86

***

Entry from Alexandria: a geometry-optimized MgRe2As structure (PBE).

Values from the calculation:
As for the magnetization: 0.000 μB per atom. Its space group is Pmmm, No. 47. The value obtained for the formation energy is 0.625 eV/atom. The total energy comes out at -0.2631 hartree per atom. The value obtained for the density of states at the Fermi level is 4.2 states/eV per cell. Its density is 12.1 g/cm³.

Cell: 2.8533 4.2938 5.2977 Å, 90.00 90.00 90.00°
Last column: nearest neighbours and their distance in Å.
Positions (direct):
As 0.5000 0.5000 0.2500  2 Mg 2.65, 2 As 2.85, 8 Re 2.95
Re 0.0000 0.0000 0.9805  1 Re 2.44
Re 0.0000 0.0000 0.5195  1 Re 2.44
Mg 0.5000 0.5000 0.7500  2 As 2.65, 8 Re 2.85, 2 Mg 2.85

***

Entry from Alexandria: a geometry-optimized MgRe3As structure (PBE).

Values from the calculation:
As for the magnetization: 0.211 μB per atom. Its space group is Pm-3m, No. 221. The value obtained for the formation energy is 1.405 eV/atom. The total energy comes out at -0.2687 hartree per atom. The value obtained for the density of states at the Fermi level is 3.6 states/eV per cell. Its density is 11.4 g/cm³.

Cell: 4.5731 4.5731 4.5731 Å, 90.00 90.00 90.00°
Last column: nearest neighbours and their distance in Å.
Positions (direct):
Re 0.0000 0.5000 0.0000  2 As 2.29
Re 0.5000 0.0000 0.0000  2 As 2.29
Re 0.0000 0.0000 0.5000  2 As 2.29
As 0.0000 0.0000 0.0000  6 Re 2.29
Mg 0.5000 0.5000 0.5000  12 Re 3.23

***

Entry from Alexandria: a geometry-optimized Mg2ReAs structure (PBE).

Values from the calculation:
As for the magnetization: 0.000 μB per atom. Its space group is Cmmm, No. 65. The value obtained for the formation energy is 0.204 eV/atom. The total energy comes out at -0.1789 hartree per atom. The value obtained for the density of states at the Fermi level is 3.4 states/eV per cell. Its density is 7.6 g/cm³.

Cell: 5.1339 5.1339 2.7833 Å, 90.00 90.00 113.46°
Last column: nearest neighbours and their distance in Å.
Positions (direct):
Re 0.5000 0.0000 0.5000  2 Re 2.78, 2 As 2.82, 8 Mg 2.92
As 0.0000 0.5000 0.5000  2 As 2.78, 2 Re 2.82, 8 Mg 2.92
Mg 0.5000 0.5000 0.0000  4 Mg 2.78-2.82, 4 Re 2.92, 4 As 2.92
Mg 0.0000 0.0000 0.0000  4 Mg 2.78-2.82, 4 As 2.92, 4 Re 2.92

***

Entry from Alexandria: a geometry-optimized MgRe2As structure (PBE).

Values from the calculation:
As for the magnetization: 0.000 μB per atom. Its space group is F-43m, No. 216. The value obtained for the formation energy is 0.387 eV/atom. The total energy comes out at -0.2719 hartree per atom. The value obtained for the density of states at the Fermi level is 2.9 states/eV per cell. Its density is 12.4 g/cm³.

Cell: 4.4724 4.4724 4.4724 Å, 60.00 60.00 60.00°
Last column: nearest neighbours and their distance in Å.
Positions (direct):
Re 0.0000 0.0000 0.0000  4 Re 2.74, 4 Mg 2.74
As 0.5000 0.5000 0.5000  4 Re 2.74, 4 Mg 2.74
Mg 0.2500 0.2500 0.2500  4 As 2.74, 4 Re 2.74
Re 0.7500 0.7500 0.7500  4 As 2.74, 4 Re 2.74